Material: Sr2TlPb
Method: DFT, PBE-GGA
State: relaxed

Lattice parameters (Å, degrees): 6.812 6.812 5.998 107.57 107.57 32.29
Fractional positions:
1 Sr 0.000 0.000 0.000
2 Sr 0.216 0.216 0.610
3 Tl 0.462 0.462 0.484
4 Pb 0.756 0.756 0.133

Computed properties:
DFT formation energy = -0.379 eV/atom
DOS at the Fermi energy = 0.66 states/eV per atom
Space group = Cm, No. 8
Final energy = -2.7383 eV/atom

***

Material: ZrOsBr2
Method: DFT, PBE-GGA
State: relaxed

Lattice parameters (Å, degrees): 5.336 5.336 5.336 133.96 133.96 67.15
Fractional positions:
1 Zr 0.000 0.000 0.000
2 Os 0.750 0.250 0.500
3 Br 0.250 0.750 0.500
4 Br 0.500 0.500 0.000

Computed properties:
DOS at the Fermi energy = 0.27 states/eV per atom
Formation energy from raw total energies = 545 meV/atom
Space group = I-4m2, No. 119
Energy relative to the lowest polymorph listed for this composition = 796.0 meV/atom
Final energy = -5.2355 eV/atom

***

Q: Which of these has the highest final energy?
A: Sr2TlPb